i | CoBr3F: optimized geometry, GGA+U.

Lattice parameters (Å, degrees): 4.928 4.928 4.928 90.00 90.00 90.00
Last column: magnetic moment on the atom in μB.
Element x y z (fractional)
Co: 0.500 0.500 0.500  2.65
Br: 0.000 0.500 0.000  -0.02
Br: 0.000 0.000 0.500  -0.02
Br: 0.500 0.000 0.000  0.00
F: 0.000 0.000 0.000  -0.03

- Density of states at the Fermi level: 2.5619 states/eV/atom

***

ii | CoBr3F: optimized geometry, GGA+U.

Lattice parameters (Å, degrees): 4.940 4.940 4.940 90.00 90.00 90.00
Last column: magnetic moment on the atom in μB.
Element x y z (fractional)
Co: 0.000 0.000 0.000  2.50
Br: 0.000 0.500 0.000  0.41
Br: 0.000 0.000 0.500  0.23
Br: 0.500 0.000 0.000  0.57
F: 0.500 0.500 0.500  0.46

- Density of states at the Fermi level: 1.4830 states/eV/atom

***

So which one is most stable? That would be ii, about 0.387 eV/atom below the next structure.

***

i | Co3BrF: optimized geometry, GGA+U.

Lattice parameters (Å, degrees): 4.440 4.440 4.440 90.00 90.00 90.00
Last column: magnetic moment on the atom in μB.
Element x y z (fractional)
Co: 0.000 0.500 0.000  1.79
Co: 0.000 0.000 0.500  1.49
Co: 0.500 0.000 0.000  1.90
Br: 0.000 0.000 0.000  0.00
F: 0.500 0.500 0.500  0.03

- Density of states at the Fermi level: 0.6051 states/eV/atom

***

ii | Co3BrF: optimized geometry, GGA+U.

Lattice parameters (Å, degrees): 4.334 4.334 4.334 90.00 90.00 90.00
Last column: magnetic moment on the atom in μB.
Element x y z (fractional)
Co: 0.000 0.500 0.000  1.95
Co: 0.000 0.000 0.500  1.98
Co: 0.500 0.000 0.000  1.92
Br: 0.500 0.500 0.500  0.04
F: 0.000 0.000 0.000  0.00

- Density of states at the Fermi level: 0.3636 states/eV/atom

***

So which one is most stable? That would be ii, about 0.664 eV/atom below the next structure.

***

i | CoBrF3: optimized geometry, GGA+U.

Lattice parameters (Å, degrees): 4.516 4.516 4.516 90.00 90.00 90.00
Last column: magnetic moment on the atom in μB.
Element x y z (fractional)
Co: 0.500 0.500 0.500  1.96
Br: 0.000 0.000 0.000  0.05
F: 0.000 0.500 0.000  0.02
F: 0.000 0.000 0.500  0.01
F: 0.500 0.000 0.000  0.01

- Density of states at the Fermi level: 0.4034 states/eV/atom

***

ii | CoBrF3: optimized geometry, GGA+U.

Lattice parameters (Å, degrees): 4.079 4.079 4.079 90.00 90.00 90.00
Last column: magnetic moment on the atom in μB.
Element x y z (fractional)
Co: 0.000 0.000 0.000  2.99
Br: 0.500 0.500 0.500  -0.15
F: 0.000 0.500 0.000  0.13
F: 0.000 0.000 0.500  0.09
F: 0.500 0.000 0.000  0.20

- Density of states at the Fermi level: 2.7529 states/eV/atom

***

So which one is most stable? That would be ii, about 0.823 eV/atom below the next structure.

***

i | CoBrN2F: optimized geometry, GGA+U.

Lattice parameters (Å, degrees): 3.814 3.814 3.952 90.00 90.00 90.00
Last column: magnetic moment on the atom in μB.
Element x y z (fractional)
N: 0.000 0.500 0.000  0.50
N: 0.500 0.000 0.000  0.50
Co: 0.000 0.000 0.000  1.55
Br: 0.500 0.500 0.500  -0.25
F: 0.000 0.000 0.500  -0.05

- Density of states at the Fermi level: 0.4563 states/eV/atom

***

ii | CoBrN2F: optimized geometry, GGA+U.

Lattice parameters (Å, degrees): 3.977 3.977 4.172 90.00 90.00 90.00
Last column: magnetic moment on the atom in μB.
Element x y z (fractional)
N: 0.000 0.500 0.000  0.09
N: 0.500 0.000 0.000  0.09
Co: 0.500 0.500 0.500  2.66
Br: 0.000 0.000 0.000  0.01
F: 0.000 0.000 0.500  0.00

- Density of states at the Fermi level: 0.4942 states/eV/atom

***

So which one is most stable? That would be i, about 0.791 eV/atom below the next structure.